{"formula": "YBr2Cl", "functional": "GGA-PBEsol", "state": "optimized geometry", "lattice": [[-3.1635, -0.2831, -1.9066], [-0.5700, -4.4686, 5.2082], [-0.5717, 6.8517, -0.0687]], "species": ["Cl", "Y", "Br", "Br"], "frac_coords": [[0.5861, 0.1721, 0.5821], [0.2337, 0.4675, 0.6002], [0.7499, 0.4997, 0.3192], [0.9303, 0.8607, 0.9985]], "sg": "No. 8", "rho_g_cm3": 3.77, "formation_energy_uncorrected_mev_per_atom": -1953.6, "de_polymorph_kcal_per_mol_atoms": 0.51}